(1)
The following is a PBE calculation of a relaxed SiAs2HBr crystal, from Alexandria via LeMat-Bulk.

abc: 4.7586 4.7586 5.4351
angles: 90.00 90.00 90.00
Fractional coordinates of all 5 atoms:
Si 0.0000 0.0000 0.0000
Br 0.0000 0.0000 0.5000
H 0.5000 0.5000 0.5000
As 0.0000 0.5000 0.0000
As 0.5000 0.0000 0.0000

Results
Distance to the lowest polymorph of the same formula = 6.27 kcal/mol of atoms

***

(2)
The following is a PBE calculation of a relaxed SiAsHBr2 crystal, from Alexandria via LeMat-Bulk.

abc: 5.2106 5.2106 3.5454
angles: 90.00 90.00 90.00
Fractional coordinates of all 5 atoms:
H 0.0000 0.0000 0.0000
Si 0.5000 0.5000 0.5000
As 0.0000 0.0000 0.5000
Br 0.0000 0.5000 0.0000
Br 0.5000 0.0000 0.0000

Results
Distance to the lowest polymorph of the same formula = 0.00 kcal/mol of atoms

***

(3)
The following is a PBE calculation of a relaxed SnAsHBr2 crystal, from Alexandria via LeMat-Bulk.

abc: 5.4520 5.4520 3.6173
angles: 90.00 90.00 90.00
Fractional coordinates of all 5 atoms:
Sn 0.5000 0.5000 0.5000
Br 0.5000 0.0000 0.0000
Br 0.0000 0.5000 0.0000
H 0.0000 0.0000 0.0000
As 0.0000 0.0000 0.5000

Results
Distance to the lowest polymorph of the same formula = 0.00 kcal/mol of atoms

***

(4)
The following is a PBE calculation of a relaxed SnAs2HBr crystal, from Alexandria via LeMat-Bulk.

abc: 5.4306 5.4306 5.7726
angles: 90.00 90.00 90.00
Fractional coordinates of all 5 atoms:
As 0.5000 0.0000 0.0000
As 0.0000 0.5000 0.0000
H 0.5000 0.5000 0.5000
Br 0.0000 0.0000 0.5000
Sn 0.0000 0.0000 0.0000

Results
Distance to the lowest polymorph of the same formula = 14.09 kcal/mol of atoms